The following is a DFT calculation (GGA-PBE) of a relaxed KNpRe crystal.

Total DFT energy (no corrections)   -17.51 eV per formula unit

a b c (Å): 6.4318 6.4318 6.4318
angles (deg): 90.00 90.00 90.00
Space group F-43m (No. 216)
Symmetry-distinct sites (fractional):
K 0.0000 0.0000 0.0000 [4 per cell]
Np 0.2500 0.2500 0.7500 [4 per cell]
Re 0.2500 0.2500 0.2500 [4 per cell]

***

The following is a DFT calculation (GGA-PBE) of a relaxed KNp2S6 crystal.

Total DFT energy (no corrections)   -61.73 eV per formula unit

a b c (Å): 3.9248 5.1423 20.7337
angles (deg): 90.00 90.00 90.00
Space group Immm (No. 71)
Symmetry-distinct sites (fractional):
K 0.0000 0.0000 0.0000 [2 per cell]
Np 0.0000 0.5000 0.1824 [4 per cell]
S 0.0000 0.0000 0.2261 [4 per cell]
S 0.0000 0.2351 0.3918 [8 per cell]

***

The following is a DFT calculation (GGA-PBE) of a relaxed K2Np2S5 crystal.

Total DFT energy (no corrections)   -60.67 eV per formula unit

a b c (Å): 15.4429 7.5362 7.5439
angles (deg): 90.00 90.00 90.00
Space group Cmce (No. 64)
Symmetry-distinct sites (fractional):
K 0.2059 0.0000 0.0000 [8 per cell]
Np 0.0000 0.1632 0.3369 [8 per cell]
S 0.0000 0.0000 0.0000 [4 per cell]
S 0.1105 0.1448 0.6447 [16 per cell]

***

The following is a DFT calculation (GGA-PBE) of a relaxed KNp2S4 crystal.

Total DFT energy (no corrections)   -53.05 eV per formula unit

a b c (Å): 4.0052 13.1689 13.5689
angles (deg): 90.00 90.00 90.00
Space group Cmcm (No. 63)
Symmetry-distinct sites (fractional):
K 0.0000 0.1084 0.2500 [4 per cell]
Np 0.0000 0.3670 0.0654 [8 per cell]
S 0.0000 0.0000 0.0000 [4 per cell]
S 0.0000 0.2624 0.6061 [8 per cell]
S 0.0000 0.4250 0.2500 [4 per cell]

***

The following is a DFT calculation (GGA-PBE) of a relaxed KNpSi crystal.

Polymorph energy (0 for the lowest one)   0 meV/atom

a b c (Å): 7.2534 7.2534 7.2534
angles (deg): 90.00 90.00 90.00
Space group F-43m (No. 216)
Symmetry-distinct sites (fractional):
K 0.0000 0.0000 0.0000 [4 per cell]
Np 0.0000 0.0000 0.5000 [4 per cell]
Si 0.2500 0.2500 0.2500 [4 per cell]

***

The following is a DFT calculation (GGA-PBE) of a relaxed KNpTe crystal.

Polymorph energy (0 for the lowest one)   0 meV/atom

a b c (Å): 7.6511 7.6511 7.6511
angles (deg): 90.00 90.00 90.00
Space group F-43m (No. 216)
Symmetry-distinct sites (fractional):
K 0.0000 0.0000 0.0000 [4 per cell]
Np 0.0000 0.0000 0.5000 [4 per cell]
Te 0.2500 0.2500 0.2500 [4 per cell]